Arrangement A

Mg2Ti2As: relaxed, PBE.

Unit cell a=3.4817 b=3.4817 c=9.0174 alpha=78.87 beta=78.87 gamma=90.00
Fractional coordinates of all 5 atoms:
As 0.0000 0.0000 0.0000
Mg 0.4053 0.4053 0.1894
Mg 0.5947 0.5947 0.8106
Ti 0.7500 0.2500 0.5000
Ti 0.2500 0.7500 0.5000

## Properties
magnetization: 0.0 μB per formula unit
SG: I4/mmm

=====

Arrangement B

Mg2Ti2As: relaxed, PBE.

Unit cell a=6.7525 b=6.7525 c=4.2085 alpha=90.00 beta=90.00 gamma=90.00
Fractional coordinates of all 10 atoms:
As 0.0000 0.0000 0.0000
As 0.5000 0.5000 0.0000
Mg 0.3579 0.8579 0.0000
Mg 0.8579 0.6421 0.0000
Mg 0.6421 0.1421 0.0000
Mg 0.1421 0.3579 0.0000
Ti 0.1508 0.6508 0.5000
Ti 0.6508 0.8492 0.5000
Ti 0.8492 0.3492 0.5000
Ti 0.3492 0.1508 0.5000

## Properties
magnetization: 0.0 μB per formula unit
SG: P4/mbm

=====

Arrangement C

Mg2Ti2As: relaxed, PBE.

Unit cell a=6.5277 b=6.5277 c=4.7266 alpha=90.00 beta=90.00 gamma=90.00
Each line ends with the local moment (μB).
Fractional coordinates of all 10 atoms:
As 0.0000 0.0000 0.0000  0.00
As 0.5000 0.5000 0.0000  0.00
Mg 0.1551 0.6551 0.5000  0.00
Mg 0.6551 0.8449 0.5000  0.00
Mg 0.8449 0.3449 0.5000  0.00
Mg 0.3449 0.1551 0.5000  0.00
Ti 0.3504 0.8504 0.0000  0.24
Ti 0.8504 0.6496 0.0000  0.23
Ti 0.6496 0.1496 0.0000  0.24
Ti 0.1496 0.3504 0.0000  0.23

## Properties
magnetization: 0.7 μB per formula unit
SG: P4/mbm

=====

arrangement C has the most favorable energy; the next structure is 414 meV/atom above.

=====

Arrangement A

MgTi2As: relaxed, PBE.

Unit cell a=7.3447 b=7.3447 c=5.8809 alpha=51.36 beta=51.36 gamma=90.00
Fractional coordinates of all 8 atoms:
As 0.0000 0.0000 0.0000
As 0.7500 0.2500 0.5000
Mg 0.5000 0.5000 0.0000
Mg 0.2500 0.7500 0.5000
Ti 0.6560 0.1250 0.2500
Ti 0.0940 0.6250 0.2500
Ti 0.3750 0.3440 0.7500
Ti 0.8750 0.9060 0.7500

## Properties
magnetization: 0.0 μB per formula unit
SG: I-42d

=====

Arrangement B

MgTi2As: relaxed, PBE.

Unit cell a=4.5710 b=4.5710 c=4.5710 alpha=60.00 beta=60.00 gamma=60.00
Fractional coordinates of all 4 atoms:
As 0.5000 0.5000 0.5000
Mg 0.0000 0.0000 0.0000
Ti 0.2500 0.2500 0.2500
Ti 0.7500 0.7500 0.7500

## Properties
magnetization: 0.0 μB per formula unit
SG: Fm-3m

=====

arrangement A has the most favorable energy; the next structure is 10 meV/atom above.

=====

Arrangement A

Mg2TlAs: relaxed, PBE.

Unit cell a=4.0865 b=4.0865 c=7.3503 alpha=73.21 beta=73.21 gamma=60.12
Fractional coordinates of all 4 atoms:
Mg 0.0210 0.0210 0.9300
Mg 0.4790 0.4790 0.5700
Tl 0.2500 0.2500 0.2500
As 0.7500 0.7500 0.7500

## Properties
magnetization: 0.0 μB per formula unit
SG: C2/m

=====

Arrangement B

Mg2TlAs: relaxed, PBE.

Unit cell a=5.1360 b=5.1360 c=5.1360 alpha=60.00 beta=60.00 gamma=60.00
Fractional coordinates of all 4 atoms:
As 0.5000 0.5000 0.5000
Mg 0.0000 0.0000 0.0000
Mg 0.2500 0.2500 0.2500
Tl 0.7500 0.7500 0.7500

## Properties
magnetization: 0.0 μB per formula unit
SG: F-43m

=====

arrangement A has the most favorable energy; the next structure is 284 meV/atom above.

=====

Arrangement A

Mg2TlAs: relaxed, PBE.

Unit cell a=6.7964 b=6.7964 c=4.0603 alpha=72.58 beta=72.58 gamma=32.16
Fractional coordinates of all 4 atoms:
Mg 0.0640 0.0640 0.9369
Mg 0.2582 0.2582 0.2413
Tl 0.4530 0.4530 0.5472
As 0.7248 0.7248 0.7746

## Properties
magnetization: 0.0 μB per formula unit
SG: Imm2

=====

Arrangement B

Mg2TlAs: relaxed, PBE.

Unit cell a=4.6753 b=4.8591 c=3.9090 alpha=90.00 beta=90.00 gamma=90.00
Fractional coordinates of all 4 atoms:
As 0.0000 0.5000 0.5000
Mg 0.0000 0.0000 0.0000
Mg 0.5000 0.5000 0.0000
Tl 0.5000 0.0000 0.5000

## Properties
magnetization: 0.0 μB per formula unit
SG: Pmmm

=====

Arrangement C

Mg2TlAs: relaxed, PBE.

Unit cell a=3.5104 b=3.7281 c=7.7449 alpha=61.36 beta=90.00 gamma=90.00
Fractional coordinates of all 4 atoms:
Mg 0.0000 0.0336 0.9656
Mg 0.0000 0.4664 0.5344
Tl 0.5000 0.2500 0.2500
As 0.5000 0.7500 0.7500

## Properties
magnetization: 0.0 μB per formula unit
SG: P2/m

=====

arrangement A has the most favorable energy; the next structure is 35 meV/atom above.